No. 1
# Sc8PSe2

Crystalline Sc8PSe2 at its relaxed geometry (GGA-PBE, Alexandria via LeMat-Bulk).

- total moment (μB/atom) = 0.00
- energy relative to the elements, uncorrected (meV per atom) = -679
- DFT total energy (eV per cell) = -141.01
- density of states at the Fermi level (states/eV per cell) = 22.10

Structure (CIF):
```
data_Sc8PSe2
_chemical_formula_sum 'Sc16 P2 Se4'
_space_group_name_H-M_alt 'C 1 m 1'
_space_group_IT_number 8
_space_group_name_Hall 'C -2y'
_cell_length_a 7.844
_cell_length_b 11.151
_cell_length_c 5.734
_cell_angle_alpha 90.00
_cell_angle_beta 106.45
_cell_angle_gamma 90.00
loop_
_atom_site_label
_atom_site_type_symbol
_atom_site_fract_x
_atom_site_fract_y
_atom_site_fract_z
Sc1 Sc 0.000 0.000 0.000
Sc2 Sc 0.039 0.371 0.770
Sc3 Sc 0.124 0.131 0.521
Sc4 Sc 0.197 0.500 0.313
Sc5 Sc 0.340 0.217 0.149
P1 P 0.361 0.000 0.379
Se1 Se 0.335 0.326 0.656
```


No. 2
# Sc2PSe

Crystalline Sc2PSe at its relaxed geometry (GGA-PBE, Alexandria via LeMat-Bulk).

- distance to the lowest polymorph of the same formula (kJ/mol of formula units) = 0
- total moment (μB/atom) = 0.00
- energy relative to the elements, uncorrected (meV per atom) = -1636
- DFT total energy (eV per cell) = -56.20
- density of states at the Fermi level (states/eV per cell) = 3.16

Structure (CIF):
```
data_Sc2PSe
_chemical_formula_sum 'Sc4 P2 Se2'
_space_group_name_H-M_alt 'C 1 2/m 1'
_space_group_IT_number 12
_space_group_name_Hall '-C 2y'
_cell_length_a 6.568
_cell_length_b 3.792
_cell_length_c 6.686
_cell_angle_alpha 90.00
_cell_angle_beta 109.03
_cell_angle_gamma 90.00
loop_
_atom_site_label
_atom_site_type_symbol
_atom_site_fract_x
_atom_site_fract_y
_atom_site_fract_z
Sc1 Sc 0.242 0.000 0.226
P1 P 0.000 0.500 0.000
Se1 Se 0.000 0.000 0.500
```


No. 3
# Sc3P2Se

Crystalline Sc3P2Se at its relaxed geometry (GGA-PBE, Alexandria via LeMat-Bulk).

- distance to the lowest polymorph of the same formula (kJ/mol of formula units) = 0
- total moment (μB/atom) = 0.00
- energy relative to the elements, uncorrected (meV per atom) = -1597
- DFT total energy (eV per cell) = -85.76
- density of states at the Fermi level (states/eV per cell) = 3.84

Structure (CIF):
```
data_Sc3P2Se
_chemical_formula_sum 'Sc6 P4 Se2'
_space_group_name_H-M_alt 'I m m m'
_space_group_IT_number 71
_space_group_name_Hall '-I 2 2'
_cell_length_a 3.784
_cell_length_b 5.374
_cell_length_c 11.394
_cell_angle_alpha 90.00
_cell_angle_beta 90.00
_cell_angle_gamma 90.00
loop_
_atom_site_label
_atom_site_type_symbol
_atom_site_fract_x
_atom_site_fract_y
_atom_site_fract_z
Sc1 Sc 0.000 0.000 0.000
Sc2 Sc 0.000 0.000 0.322
P1 P 0.000 0.500 0.336
Se1 Se 0.000 0.500 0.000
```


No. 4
# ScPSe2

Crystalline ScPSe2 at its relaxed geometry (GGA-PBE, Alexandria via LeMat-Bulk).

- total moment (μB/atom) = 0.00
- energy relative to the elements, uncorrected (meV per atom) = -829
- DFT total energy (eV per cell) = -44.05
- density of states at the Fermi level (states/eV per cell) = 2.22

Structure (CIF):
```
data_ScPSe2
_chemical_formula_sum 'Sc2 P2 Se4'
_space_group_name_H-M_alt 'A m m 2'
_space_group_IT_number 38
_space_group_name_Hall 'A 2 -2'
_cell_length_a 3.516
_cell_length_b 3.620
_cell_length_c 14.840
_cell_angle_alpha 90.00
_cell_angle_beta 90.00
_cell_angle_gamma 90.00
loop_
_atom_site_label
_atom_site_type_symbol
_atom_site_fract_x
_atom_site_fract_y
_atom_site_fract_z
Sc1 Sc 0.000 0.000 0.000
P1 P 0.500 0.000 0.144
Se1 Se 0.000 0.000 0.668
Se2 Se 0.500 0.000 0.429
```


No. 5
# ScPSe2

Crystalline ScPSe2 at its relaxed geometry (GGA-PBE, Alexandria via LeMat-Bulk).

- total moment (μB/atom) = 0.00
- energy relative to the elements, uncorrected (meV per atom) = -528
- DFT total energy (eV per cell) = -20.82
- density of states at the Fermi level (states/eV per cell) = 3.01

Structure (CIF):
```
data_ScPSe2
_chemical_formula_sum 'Sc1 P1 Se2'
_space_group_name_H-M_alt 'P 4 m m'
_space_group_IT_number 99
_space_group_name_Hall 'P 4 -2'
_cell_length_a 3.502
_cell_length_b 3.502
_cell_length_c 6.797
_cell_angle_alpha 90.00
_cell_angle_beta 90.00
_cell_angle_gamma 90.00
loop_
_atom_site_label
_atom_site_type_symbol
_atom_site_fract_x
_atom_site_fract_y
_atom_site_fract_z
Sc1 Sc 0.000 0.000 0.000
P1 P 0.500 0.500 0.842
Se1 Se 0.000 0.000 0.590
Se2 Se 0.500 0.500 0.204
```


No. 6
# ScP2Se

Crystalline ScP2Se at its relaxed geometry (GGA-PBE, Alexandria via LeMat-Bulk).

- total moment (μB/atom) = 0.00
- energy relative to the elements, uncorrected (meV per atom) = -462
- DFT total energy (eV per cell) = -44.97
- density of states at the Fermi level (states/eV per cell) = 0.95

Structure (CIF):
```
data_ScP2Se
_chemical_formula_sum 'Sc2 P4 Se2'
_space_group_name_H-M_alt 'I 4/m m m'
_space_group_IT_number 139
_space_group_name_Hall '-I 4 2'
_cell_length_a 5.376
_cell_length_b 5.376
_cell_length_c 5.429
_cell_angle_alpha 90.00
_cell_angle_beta 90.00
_cell_angle_gamma 90.00
loop_
_atom_site_label
_atom_site_type_symbol
_atom_site_fract_x
_atom_site_fract_y
_atom_site_fract_z
Sc1 Sc 0.000 0.000 0.000
P1 P 0.000 0.500 0.000
Se1 Se 0.000 0.000 0.500
```


No. 7
# ScP2Se

Crystalline ScP2Se at its relaxed geometry (GGA-PBE, Alexandria via LeMat-Bulk).

- total moment (μB/atom) = 0.00
- energy relative to the elements, uncorrected (meV per atom) = -672
- DFT total energy (eV per cell) = -46.65
- density of states at the Fermi level (states/eV per cell) = 1.86

Structure (CIF):
```
data_ScP2Se
_chemical_formula_sum 'Sc2 P4 Se2'
_space_group_name_H-M_alt 'A m m 2'
_space_group_IT_number 38
_space_group_name_Hall 'A 2 -2'
_cell_length_a 3.805
_cell_length_b 3.838
_cell_length_c 9.908
_cell_angle_alpha 90.00
_cell_angle_beta 90.00
_cell_angle_gamma 90.00
loop_
_atom_site_label
_atom_site_type_symbol
_atom_site_fract_x
_atom_site_fract_y
_atom_site_fract_z
Sc1 Sc 0.000 0.000 0.000
P1 P 0.500 0.000 0.573
P2 P 0.500 0.000 0.793
Se1 Se 0.000 0.000 0.291
```


No. 8
# ScPSe4

Crystalline ScPSe4 at its relaxed geometry (GGA-PBE, Alexandria via LeMat-Bulk).

- total moment (μB/atom) = 0.00
- energy relative to the elements, uncorrected (meV per atom) = 372
- DFT total energy (eV per cell) = -93.79
- density of states at the Fermi level (states/eV per cell) = 14.91

Structure (CIF):
```
data_ScPSe4
_chemical_formula_sum 'Sc4 P4 Se16'
_space_group_name_H-M_alt 'F -4 3 m'
_space_group_IT_number 216
_space_group_name_Hall 'F -4 2 3'
_cell_length_a 7.913
_cell_length_b 7.913
_cell_length_c 7.913
_cell_angle_alpha 90.00
_cell_angle_beta 90.00
_cell_angle_gamma 90.00
loop_
_atom_site_label
_atom_site_type_symbol
_atom_site_fract_x
_atom_site_fract_y
_atom_site_fract_z
Sc1 Sc 0.000 0.000 0.000
P1 P 0.250 0.250 0.250
Se1 Se 0.125 0.125 0.625
```


total moment of number 2 (Sc2PSe)? 0.00 μB/atom


Among the records above, which one has the lowest DFT total energy? Sc8PSe2